A plane-wave DFT calculation with GGA-PBE was carried out for a geometry-optimized SrPu2Ir9 structure.

The space group is R-3m (166). Its energy relative to the elements is -31 kJ per mole of atoms. The calculation puts the total energy at -113.995 eV for the cell shown. As for the total magnetization: 7.7 μB per formula unit.

abc: 9.2799 9.2799 9.2799
angles: 33.51 33.51 33.51
With the nearest neighbours (Å) after each atom.
Positions (direct):
1 Sr 0.0000 0.0000 0.0000  18 Ir 3.09-3.46
2 Pu 0.1396 0.1396 0.1396  12 Ir 3.05-3.28, 3 Pu 3.40
3 Pu 0.8604 0.8604 0.8604  12 Ir 3.05-3.28, 3 Pu 3.40
4 Ir 0.0811 0.5846 0.5846  7 Ir 2.66-2.69
5 Ir 0.3330 0.3330 0.3330  6 Ir 2.67-2.69
6 Ir 0.4154 0.4154 0.9189  7 Ir 2.66-2.69
7 Ir 0.4154 0.9189 0.4154  7 Ir 2.66-2.69
8 Ir 0.5000 0.5000 0.5000  6 Ir 2.68
9 Ir 0.5846 0.0811 0.5846  7 Ir 2.66-2.69
10 Ir 0.5846 0.5846 0.0811  7 Ir 2.66-2.69
11 Ir 0.6670 0.6670 0.6670  6 Ir 2.67-2.69
12 Ir 0.9189 0.4154 0.4154  7 Ir 2.66-2.69